The following is a DFT calculation (GGA-PBE) of an optimized crystal structure of ThMg2Hg4.

The density of states at the Fermi level is 0.62 states/eV/atom. As for the size of the total moment: 0.000 μB/atom. The calculation puts the final energy at -1.878 eV per atom. As for the formation energy: -190 meV/atom.

Cell lengths 4.872, 4.872, 9.054 Å; angles 74.39, 74.39, 60.00 degrees
Element x y z (fractional)
1 Th 0.000 0.000 0.000
2 Mg 0.756 0.756 0.732
3 Mg 0.244 0.244 0.268
4 Hg 0.868 0.868 0.395
5 Hg 0.132 0.132 0.605
6 Hg 0.609 0.609 0.174
7 Hg 0.391 0.391 0.826

***

The following is a DFT calculation (GGA-PBE) of an optimized crystal structure of Ac4Ag3Hg.

The density of states at the Fermi level is 0.98 states/eV/atom. As for the size of the total moment: 0.000 μB/atom. The calculation puts the final energy at -3.471 eV per atom. As for the formation energy: -310 meV/atom. For the energy relative to the lowest polymorph listed for this composition, the calculation gives 10 meV per atom.

Cell lengths 4.268, 5.060, 12.050 Å; angles 90.00, 90.00, 90.00 degrees
Element x y z (fractional)
1 Ac 0.500 0.500 0.362
2 Ac 0.000 0.500 0.854
3 Ac 0.000 0.000 0.144
4 Ac 0.500 0.000 0.640
5 Ag 0.000 0.500 0.575
6 Ag 0.000 0.000 0.426
7 Ag 0.500 0.000 0.920
8 Hg 0.500 0.500 0.078